Entry from Alexandria via LeMat-Bulk: NiSbW2O after structural relaxation (GGA+U).

abc: 4.978 4.978 4.476
angles: 90.00 90.00 90.00
Sites, in units of the cell vectors:
Ni: 0.000 0.000 0.000
Sb: 0.000 0.000 0.500
W: 0.000 0.500 0.000
W: 0.500 0.000 0.000
O: 0.500 0.500 0.500

Computed properties:
DOS(E_F), states/eV/atom: 0.3744
Magnetization, μB per cell: 7.080
Electronic total energy, eV per atom: -3.434